DFT (GGA-PBE) results for a relaxed structure of Zr2Au2C.

Properties
As for the formation energy: -569 meV/atom. The volume comes out at 17.8 A^3/atom. The crystal system is trigonal. Its raw total energy is -107.2 eV per cell.

abc: 3.3544 3.3544 27.4071
angles: 90.00 90.00 120.00
Last column: nearest neighbours and their distance in Å.
Space group R-3m (No. 166, hexagonal axes)
Inequivalent atoms, fractional coordinates:
Zr 0.0000 0.0000 0.1205 [6 per cell]  3 C 2.31
Au 0.0000 0.0000 0.3733 [6 per cell]  3 Au 2.92, 3 Zr 2.94
C 0.0000 0.0000 0.5000 [3 per cell]  6 Zr 2.31